Entry 1:
{
  "formula": "Si3MoRu",
  "functional": "PBE-GGA",
  "state": "optimized geometry",
  "e_above_lowest_polymorph_ev_per_fu": 0.00,
  "raw_formation_energy_kj_per_mol_fu": 463,
  "lattice_angstrom": [[-0.0664, 2.4575, -3.8560], [-2.6797, -3.1457, -1.9586], [-3.7050, 2.2311, 1.4858]],
  "species": ["Ru", "Mo", "Si", "Si", "Si"],
  "frac_coords": [[0.0000, 0.0000, 0.0000], [0.5000, 0.5000, 0.5000], [0.0000, 0.5000, 0.0000], [0.0000, 0.0000, 0.5000], [0.5000, 0.0000, 0.0000]]
}



Entry 2:
{
  "formula": "La6Tb3Th2",
  "functional": "PBE-GGA",
  "state": "optimized geometry",
  "delta_e_f_kcal_per_mol_atoms": 0.5,
  "lattice_angstrom": [[3.6403, 0.0000, 0.2233], [1.8133, 3.1565, 0.2233], [-0.1950, -0.1129, 32.9606]],
  "species": ["La", "La", "La", "La", "La", "La", "Tb", "Tb", "Tb", "Th", "Th"],
  "frac_coords": [[0.9089, 0.9089, 0.2732], [0.0911, 0.0911, 0.7268], [0.8163, 0.8163, 0.5511], [0.1837, 0.1837, 0.4489], [0.6365, 0.6365, 0.0904], [0.3635, 0.3635, 0.9096], [0.0000, 0.0000, 0.0000], [0.7265, 0.7265, 0.8204], [0.2735, 0.2735, 0.1796], [0.5462, 0.5462, 0.3613], [0.4538, 0.4538, 0.6387]]
}



Entry 3:
{
  "formula": "SiHg2Mo",
  "functional": "PBE-GGA",
  "state": "optimized geometry",
  "raw_formation_energy_kj_per_mol_fu": 222,
  "lattice_angstrom": [[5.6324, -0.0007, 0.0000], [2.9697, 4.7859, 0.0000], [-4.3011, -2.3926, 2.7387]],
  "species": ["Hg", "Hg", "Mo", "Si"],
  "frac_coords": [[0.0000, 0.0000, 0.0000], [0.5000, 0.5000, 0.0000], [0.2500, 0.7500, 0.5000], [0.7500, 0.2500, 0.5000]]
}



Entry 4:
{
  "formula": "TlZnGe2S6",
  "functional": "PBE-GGA",
  "state": "optimized geometry",
  "raw_formation_energy_kj_per_mol_fu": -265,
  "lattice_angstrom": [[6.9461, 0.1667, 0.1730], [2.4333, 8.5178, 0.2691], [2.4333, -0.0468, 8.5219]],
  "species": ["Tl", "Tl", "Zn", "Zn", "Ge", "Ge", "Ge", "Ge", "S", "S", "S", "S", "S", "S", "S", "S", "S", "S", "S", "S"],
  "frac_coords": [[0.2500, 0.8360, 0.1640], [0.7500, 0.1640, 0.8360], [0.2500, 0.2035, 0.7965], [0.7500, 0.7965, 0.2035], [0.3121, 0.7820, 0.6325], [0.1879, 0.3675, 0.2180], [0.6879, 0.2180, 0.3675], [0.8121, 0.6325, 0.7820], [0.1605, 0.9551, 0.8281], [0.3395, 0.1719, 0.0449], [0.8395, 0.0449, 0.1719], [0.6605, 0.8281, 0.9551], [0.4280, 0.8951, 0.3965], [0.0720, 0.6035, 0.1049], [0.5720, 0.1049, 0.6035], [0.9280, 0.3965, 0.8951], [0.0613, 0.6951, 0.5751], [0.4387, 0.4249, 0.3049], [0.9387, 0.3049, 0.4249], [0.5613, 0.5751, 0.6951]]
}